Below is a geometry-optimized LaTe2 structure, with properties calculated at the PBE-GGA level.

abc: 11.270 11.270 4.513
angles: 90.00 90.00 157.54
Sites, in units of the cell vectors:
La  0.864  0.136  0.750
La  0.136  0.864  0.250
Te  0.250  0.750  0.750
Te  0.590  0.410  0.750
Te  0.410  0.590  0.250
Te  0.750  0.250  0.250

Calculated values
The calculation puts the size of the total moment at 0.0 Bohr magnetons per cell. As for the crystal system: orthorhombic. The space-group type is Cmcm, No. 63. For the formation energy without anion corrections, the calculation gives -1.28 eV per atom. The density of states at the Fermi level is 0.30 states/eV/atom.


Below is a geometry-optimized La6Te7 structure, with properties calculated at the PBE-GGA level.

abc: 12.281 12.281 12.281
angles: 33.40 33.40 33.40
Sites, in units of the cell vectors:
Te  0.433  0.433  0.925
Te  0.075  0.567  0.567
Te  0.433  0.925  0.433
Te  0.567  0.075  0.567
Te  0.500  0.500  0.500
Te  0.567  0.567  0.075
Te  0.925  0.433  0.433
La  0.801  0.801  0.801
La  0.063  0.063  0.063
La  0.199  0.199  0.199
La  0.334  0.334  0.334
La  0.937  0.937  0.937
La  0.666  0.666  0.666

Calculated values
The calculation puts the size of the total moment at 2.0 Bohr magnetons per cell. As for the crystal system: trigonal. The space-group type is R-3m, No. 166. For the formation energy without anion corrections, the calculation gives -0.86 eV per atom. The density of states at the Fermi level is 1.00 states/eV/atom.


Below is a geometry-optimized La4Te3 structure, with properties calculated at the PBE-GGA level.

abc: 12.299 12.299 12.299
angles: 159.27 159.27 29.48
Sites, in units of the cell vectors:
La  0.835  0.835  0.000
La  0.165  0.165  0.000
La  0.439  0.439  0.000
La  0.561  0.561  0.000
Te  0.305  0.305  0.000
Te  0.000  0.000  0.000
Te  0.695  0.695  0.000

Calculated values
The calculation puts the size of the total moment at 0.0 Bohr magnetons per cell. As for the energy above the most stable polymorph in this dataset: 1.05 eV/f.u. As for the crystal system: tetragonal. The space-group type is I4/mmm, No. 139. For the formation energy without anion corrections, the calculation gives -1.19 eV per atom. The density of states at the Fermi level is 0.84 states/eV/atom.


Below is a geometry-optimized LaTe2 structure, with properties calculated at the PBE-GGA level.

abc: 4.603 14.661 6.143
angles: 90.00 90.00 90.00
Sites, in units of the cell vectors:
La  0.500  0.863  0.250
La  0.000  0.637  0.750
La  0.500  0.137  0.750
La  0.000  0.363  0.250
Te  0.500  0.500  0.000
Te  0.000  0.000  0.000
Te  0.000  0.000  0.500
Te  0.500  0.788  0.750
Te  0.500  0.212  0.250
Te  0.500  0.500  0.500
Te  0.000  0.288  0.750
Te  0.000  0.712  0.250

Calculated values
The calculation puts the size of the total moment at 0.0 Bohr magnetons per cell. As for the crystal system: orthorhombic. The space-group type is Cmcm, No. 63. For the formation energy without anion corrections, the calculation gives -1.33 eV per atom. The density of states at the Fermi level is 0.50 states/eV/atom.


Below is a geometry-optimized La4Te3 structure, with properties calculated at the PBE-GGA level.

abc: 6.886 6.886 5.595
angles: 90.00 90.00 120.00
Sites, in units of the cell vectors:
Te  0.500  0.000  0.000
Te  0.500  0.500  0.000
Te  0.000  0.500  0.000
La  0.000  0.000  0.251
La  0.667  0.333  0.500
La  0.333  0.667  0.500
La  0.000  0.000  0.749

Calculated values
The calculation puts the size of the total moment at 0.0 Bohr magnetons per cell. As for the energy above the most stable polymorph in this dataset: 4.54 eV/f.u. As for the crystal system: hexagonal. The space-group type is P6/mmm, No. 191. For the formation energy without anion corrections, the calculation gives -0.69 eV per atom. The density of states at the Fermi level is 0.85 states/eV/atom.


Below is a geometry-optimized La5Te7 structure, with properties calculated at the PBE-GGA level.

abc: 4.460 7.873 13.966
angles: 71.02 80.81 73.55
Sites, in units of the cell vectors:
La  0.700  0.411  0.189
La  0.300  0.589  0.811
La  0.000  0.000  0.000
La  0.886  0.806  0.423
La  0.114  0.194  0.577
Te  0.260  0.131  0.349
Te  0.661  0.728  0.951
Te  0.500  0.500  0.500
Te  0.959  0.298  0.784
Te  0.041  0.702  0.216
Te  0.740  0.869  0.651
Te  0.339  0.272  0.049

Calculated values
The calculation puts the size of the total moment at 0.0 Bohr magnetons per cell. As for the crystal system: monoclinic. The space-group type is C2/m, No. 12. For the formation energy without anion corrections, the calculation gives -1.58 eV per atom. The density of states at the Fermi level is 0.18 states/eV/atom.


Below is a geometry-optimized La5Te structure, with properties calculated at the PBE-GGA level.

abc: 8.416 8.416 4.988
angles: 90.00 90.00 145.43
Sites, in units of the cell vectors:
Te  0.500  0.500  0.000
La  0.156  0.844  0.000
La  0.844  0.156  0.000
La  0.344  0.656  0.500
La  0.000  0.000  0.500
La  0.656  0.344  0.500

Calculated values
The calculation puts the size of the total moment at 0.0 Bohr magnetons per cell. As for the energy above the most stable polymorph in this dataset: 0.23 eV/f.u. As for the crystal system: orthorhombic. The space-group type is Cmmm, No. 65. For the formation energy without anion corrections, the calculation gives -0.39 eV per atom. The density of states at the Fermi level is 1.38 states/eV/atom.


Below is a geometry-optimized LaTe2 structure, with properties calculated at the PBE-GGA level.

abc: 4.544 9.183 9.263
angles: 90.00 90.00 90.00
Sites, in units of the cell vectors:
La  0.011  0.250  0.726
La  0.500  0.000  0.274
La  0.500  0.500  0.274
La  0.989  0.750  0.726
Te  0.000  0.500  0.000
Te  0.003  0.250  0.366
Te  0.471  0.750  0.000
Te  0.500  0.500  0.634
Te  0.000  0.000  0.000
Te  0.529  0.250  0.000
Te  0.500  0.000  0.634
Te  0.997  0.750  0.366

Calculated values
The calculation puts the size of the total moment at 0.0 Bohr magnetons per cell. As for the crystal system: orthorhombic. The space-group type is Pma2, No. 28. For the formation energy without anion corrections, the calculation gives -1.41 eV per atom. The density of states at the Fermi level is 0.17 states/eV/atom.


Below is a geometry-optimized LaTe3 structure, with properties calculated at the PBE-GGA level.

abc: 5.317 5.317 4.272
angles: 90.00 90.00 90.00
Sites, in units of the cell vectors:
Te  0.000  0.500  0.500
Te  0.500  0.500  0.000
Te  0.500  0.000  0.500
La  0.000  0.000  0.000

Calculated values
The calculation puts the size of the total moment at 0.0 Bohr magnetons per cell. As for the crystal system: tetragonal. The space-group type is P4/mmm, No. 123. For the formation energy without anion corrections, the calculation gives -0.76 eV per atom. The density of states at the Fermi level is 0.64 states/eV/atom.


Below is a geometry-optimized LaTe3 structure, with properties calculated at the PBE-GGA level.

abc: 5.222 5.222 6.673
angles: 90.00 90.00 120.00
Sites, in units of the cell vectors:
La  0.000  0.000  0.000
Te  0.667  0.333  0.785
Te  0.667  0.333  0.215
Te  0.000  0.000  0.500

Calculated values
The calculation puts the size of the total moment at 0.0 Bohr magnetons per cell. As for the crystal system: hexagonal. The space-group type is P-6m2, No. 187. For the formation energy without anion corrections, the calculation gives -0.66 eV per atom. The density of states at the Fermi level is 1.13 states/eV/atom.


Below is a geometry-optimized La4Te3 structure, with properties calculated at the PBE-GGA level.

abc: 4.441 4.441 14.994
angles: 81.48 81.48 60.00
Sites, in units of the cell vectors:
La  0.379  0.379  0.864
La  0.869  0.869  0.394
La  0.131  0.131  0.606
La  0.621  0.621  0.136
Te  0.245  0.245  0.265
Te  0.755  0.755  0.735
Te  0.000  0.000  0.000

Calculated values
The calculation puts the size of the total moment at 0.0 Bohr magnetons per cell. As for the energy above the most stable polymorph in this dataset: 0.48 eV/f.u. As for the crystal system: trigonal. The space-group type is R-3m, No. 166. For the formation energy without anion corrections, the calculation gives -1.27 eV per atom. The density of states at the Fermi level is 0.85 states/eV/atom.


Below is a geometry-optimized LaTe4 structure, with properties calculated at the PBE-GGA level.

abc: 6.320 6.320 6.320
angles: 109.47 109.47 109.47
Sites, in units of the cell vectors:
Te  0.000  0.500  0.000
Te  0.500  0.500  0.500
Te  0.500  0.000  0.000
Te  0.000  0.000  0.500
La  0.000  0.000  0.000

Calculated values
The calculation puts the size of the total moment at 0.0 Bohr magnetons per cell. As for the energy above the most stable polymorph in this dataset: 0.00 eV/f.u. As for the crystal system: cubic. The space-group type is Im-3m, No. 229. For the formation energy without anion corrections, the calculation gives -0.43 eV per atom. The density of states at the Fermi level is 0.92 states/eV/atom.